Here is crystalline Rb12AgHg6 at its relaxed geometry from the Alexandria database. Energies are from PBE.

Cell lengths 10.985, 10.985, 10.985 Å; angles 109.47, 109.47, 109.47 degrees
Positions (direct):
1 Rb 0.290 0.107 0.817
2 Rb 0.290 0.474 0.183
3 Rb 0.710 0.526 0.817
4 Rb 0.710 0.893 0.183
5 Rb 0.107 0.817 0.290
6 Rb 0.474 0.183 0.290
7 Rb 0.526 0.817 0.710
8 Rb 0.893 0.183 0.710
9 Rb 0.817 0.290 0.107
10 Rb 0.183 0.290 0.474
11 Rb 0.817 0.710 0.526
12 Rb 0.183 0.710 0.893
13 Ag 0.000 0.000 0.000
14 Hg 0.382 0.500 0.882
15 Hg 0.618 0.500 0.118
16 Hg 0.500 0.882 0.382
17 Hg 0.500 0.118 0.618
18 Hg 0.882 0.382 0.500
19 Hg 0.118 0.618 0.500

Energy: -0.98 eV per atom
Formation enthalpy at 0 K: -0.12 eV/atom
SG: Im-3 (204)
Fermi-level density of states: 11.9 states/eV/cell